1.
TaTc3 | GGA-PBE | relaxed

D(E_F) = 7.839 states/eV/cell
Symmetry = Cmcm
Energy of formation from the pure elements = -2.26 kcal/mol of atoms

a b c (Å): 5.4637 5.4637 4.3552
angles (deg): 90.00 90.00 107.58
Element x y z (fractional)
Ta  0.6339  0.3661  0.2500
Ta  0.3661  0.6339  0.7500
Tc  0.3857  0.1346  0.7500
Tc  0.8973  0.1027  0.7500
Tc  0.1346  0.3857  0.2500
Tc  0.8654  0.6143  0.7500
Tc  0.1027  0.8973  0.2500
Tc  0.6143  0.8654  0.2500

---

2.
TaTc2 | GGA-PBE | relaxed

D(E_F) = 3.797 states/eV/cell
Symmetry = P4/mmm
Energy of formation from the pure elements = 18.49 kcal/mol of atoms

a b c (Å): 4.1131 4.1131 3.2715
angles (deg): 90.00 90.00 90.00
Element x y z (fractional)
Ta  0.0000  0.0000  0.0000
Tc  0.0000  0.5000  0.5000
Tc  0.5000  0.0000  0.5000

---

3.
Ta2Tc | GGA-PBE | relaxed

D(E_F) = 1.782 states/eV/cell
Symmetry = P-3m1
Energy of formation from the pure elements = -5.02 kcal/mol of atoms

a b c (Å): 4.4897 4.4897 2.9057
angles (deg): 90.00 90.00 120.00
Element x y z (fractional)
Ta  0.3333  0.6667  0.3120
Ta  0.6667  0.3333  0.6880
Tc  0.0000  0.0000  0.0000

---

Number 1: E above lowest polymorph 0.00 eV/f.u.. Number 2: E above lowest polymorph 3.00 eV/f.u.. Number 3: E above lowest polymorph 0.49 eV/f.u..